The following is a DFT calculation (PBE-GGA) of crystalline Zr2CdCl at its relaxed geometry.

Output
magnetization	0.000	μB/atom
E_tot	-5.33	eV per atom
relative energy among the computed polymorphs	0.1564	eV/atom

Geometry as POSCAR:
```
Zr2CdCl
1.0
3.214 0.000 0.000
0.000 3.147 -0.001
0.000 0.003 8.526
Cd Cl Zr
1 1 2
Cartesian
1.607 0.788 2.131
1.607 2.363 6.394
0.000 2.361 0.039
0.000 2.362 4.223
```



The following is a DFT calculation (PBE-GGA) of crystalline HfSc5Rh6 at its relaxed geometry.

Output
magnetization	0.000	μB/atom
E_tot	-8.16	eV per atom
energy relative to the elements	-1.014	eV per atom

Geometry as POSCAR:
```
HfSc5Rh6
1.0
4.288 -0.026 1.427
0.036 6.656 0.012
0.000 -0.013 7.139
Sc Hf Rh
5 1 6
Cartesian
2.877 3.302 5.716
1.421 -0.013 2.879
0.018 3.328 0.006
2.866 -0.026 5.687
1.446 3.315 2.862
0.000 0.000 0.000
3.607 4.973 3.556
3.589 1.632 3.550
2.152 1.607 7.855
2.171 5.010 0.723
0.735 4.986 5.028
0.717 1.644 5.022
```



The following is a DFT calculation (PBE-GGA) of crystalline CeGa3Ge3 at its relaxed geometry.

Output
magnetization	0.199	μB/atom
E_tot	-4.07	eV per atom
energy relative to the elements	0.058	eV per atom

Geometry as POSCAR:
```
CeGa3Ge3
1.0
-6.342 1.087 2.773
2.357 -2.156 6.236
1.821 6.578 1.586
Ge Ga Ce
6 6 2
Cartesian
-0.675 3.561 1.486
1.634 0.566 3.515
-1.403 -1.074 6.064
-3.846 4.104 2.873
2.545 3.855 4.308
-2.582 0.005 2.946
1.500 2.750 2.352
2.679 1.672 5.470
-1.805 5.477 2.576
-3.578 -0.263 5.198
-2.716 2.188 1.783
-0.407 -0.806 3.811
-1.082 2.754 5.298
0.000 0.000 0.000
```



> magnetization of number 1 (Zr2CdCl)?

0.000 μB/atom



> What is the formula in the second record?

HfSc5Rh6



> Which of these has the highest magnetization?

CeGa3Ge3